# 1
{
  "formula": "CoH2Os",
  "functional": "PBE",
  "state": "relaxed",
  "sg": "No. 225",
  "polymorph_energy_ev_per_fu": 2.03,
  "lattice_angstrom": [[0.000, 2.515, 2.515], [2.515, 0.000, 2.515], [2.515, 2.515, 0.000]],
  "species": ["Co", "H", "H", "Os"],
  "frac_coords": [[0.000, 0.000, 0.000], [0.250, 0.250, 0.250], [0.750, 0.750, 0.750], [0.500, 0.500, 0.500]]
}

# 2
{
  "formula": "AlV5Ga2",
  "functional": "PBE",
  "state": "relaxed",
  "formation_energy_mev_per_atom": -116,
  "sg": "No. 140",
  "polymorph_energy_ev_per_fu": 0.00,
  "lattice_angstrom": [[-3.232, 3.232, 5.448], [3.232, -3.232, 5.448], [3.232, 3.232, -5.448]],
  "species": ["Al", "Al", "V", "V", "V", "V", "V", "V", "V", "V", "V", "V", "Ga", "Ga", "Ga", "Ga"],
  "frac_coords": [[0.250, 0.250, 0.000], [0.750, 0.750, 0.000], [0.000, 0.000, 0.000], [0.000, 0.500, 0.178], [0.000, 0.500, 0.822], [0.178, 0.000, 0.500], [0.322, 0.822, 0.822], [0.500, 0.322, 0.500], [0.500, 0.500, 0.000], [0.500, 0.678, 0.500], [0.678, 0.178, 0.178], [0.822, 0.000, 0.500], [0.138, 0.362, 0.500], [0.362, 0.862, 0.224], [0.638, 0.138, 0.776], [0.862, 0.638, 0.500]]
}

# 3
{
  "formula": "Tb2Dy3Sc8",
  "functional": "PBE",
  "state": "relaxed",
  "formation_energy_mev_per_atom": 289,
  "sg": "No. 12",
  "lattice_angstrom": [[9.917, -3.590, 0.000], [9.917, 3.590, 0.000], [-0.003, 0.000, 5.223]],
  "species": ["Tb", "Tb", "Dy", "Dy", "Dy", "Sc", "Sc", "Sc", "Sc", "Sc", "Sc", "Sc", "Sc"],
  "frac_coords": [[0.240, 0.240, 0.499], [0.760, 0.760, 0.501], [0.000, 0.000, 0.500], [0.287, 0.713, 0.000], [0.713, 0.287, 0.000], [0.130, 0.130, 0.000], [0.182, 0.599, 0.500], [0.337, 0.337, 0.999], [0.401, 0.818, 0.500], [0.599, 0.182, 0.500], [0.663, 0.663, 0.001], [0.818, 0.401, 0.500], [0.870, 0.870, 0.000]]
}

# 4
{
  "formula": "CsU3P4N12",
  "functional": "PBE",
  "state": "relaxed",
  "e_form_raw_ev_per_atom": -0.58,
  "sg": "No. 155",
  "lattice_angstrom": [[5.436, 3.139, 3.118], [-5.436, 3.139, 3.118], [0.000, -6.277, 3.118]],
  "species": ["Cs", "U", "U", "U", "P", "P", "P", "P", "N", "N", "N", "N", "N", "N", "N", "N", "N", "N", "N", "N"],
  "frac_coords": [[0.000, 0.000, 0.000], [0.000, 0.553, 0.447], [0.447, 0.000, 0.553], [0.553, 0.447, 0.000], [0.055, 0.500, 0.945], [0.500, 0.500, 0.500], [0.500, 0.945, 0.055], [0.945, 0.055, 0.500], [0.008, 0.589, 0.757], [0.092, 0.908, 0.500], [0.243, 0.411, 0.992], [0.353, 0.647, 0.500], [0.411, 0.992, 0.243], [0.500, 0.092, 0.908], [0.500, 0.353, 0.647], [0.589, 0.757, 0.008], [0.647, 0.500, 0.353], [0.757, 0.008, 0.589], [0.908, 0.500, 0.092], [0.992, 0.243, 0.411]]
}

# 5
{
  "formula": "NiGeMoPt",
  "functional": "PBE",
  "state": "relaxed",
  "formation_energy_mev_per_atom": -110,
  "sg": "No. 216",
  "lattice_angstrom": [[0.000, 3.050, 3.050], [3.050, 0.000, 3.050], [3.050, 3.050, 0.000]],
  "species": ["Ni", "Ge", "Mo", "Pt"],
  "frac_coords": [[0.000, 0.000, 0.000], [0.500, 0.500, 0.500], [0.750, 0.750, 0.750], [0.250, 0.250, 0.250]]
}

# 6
{
  "formula": "PuTc2Sn",
  "functional": "PBE",
  "state": "relaxed",
  "formation_energy_mev_per_atom": -75,
  "sg": "No. 225",
  "polymorph_energy_ev_per_fu": 0.00,
  "lattice_angstrom": [[0.000, 3.307, 3.307], [3.307, 0.000, 3.307], [3.307, 3.307, 0.000]],
  "species": ["Pu", "Tc", "Tc", "Sn"],
  "frac_coords": [[0.000, 0.000, 0.000], [0.250, 0.250, 0.250], [0.750, 0.750, 0.750], [0.500, 0.500, 0.500]]
}

| no. | D(E_F) (states/eV per atom) |
| --- | --- |
| 1 | 1.06 |
| 2 | 0.72 |
| 3 | 2.05 |
| 4 | 0.43 |
| 5 | 1.09 |
| 6 | 1.50 |